Record 1
## MgCdIn2 (meta-GGA SCAN)

Data for a PBEsol-optimized structure of MgCdIn2.

Lattice parameters (Å, degrees): 3.629 5.147 5.951 115.62 107.74 90.00
Element x y z (fractional)
In (0.749, 0.748, 0.496)
In (0.251, 0.252, 0.504)
Mg (0.500, 0.000, 0.000)
Cd (0.000, 0.500, 0.000)

N(E_F), states/eV/cell: 1.4
V, Å³/f.u.: 94.3
Total energy, eV/cell: -102.1


Record 2
## MgCdIn (meta-GGA SCAN)

Data for a PBEsol-optimized structure of MgCdIn.

Lattice parameters (Å, degrees): 3.213 4.943 4.943 120.00 90.00 90.00
Element x y z (fractional)
Cd (0.830, 0.000, 0.000)
Mg (0.334, 0.667, 0.333)
In (0.835, 0.333, 0.667)

N(E_F), states/eV/cell: 1.2
V, Å³/f.u.: 68.0
Total energy, eV/cell: -69.0